# 1
{
  "formula": "UTi2Mo",
  "functional": "PBE-GGA",
  "state": "optimized geometry",
  "magnetic_moment_mub_per_cell": 0.49,
  "spacegroup": "P4/mmm, No. 123",
  "de_polymorph_ev_per_atom": 0.0941,
  "delta_e_f_ev_per_atom": 0.224,
  "lattice": [[4.646, 0.000, 0.000], [0.000, 4.646, 0.000], [0.000, 0.000, 3.197]],
  "species": ["U", "Ti", "Ti", "Mo"],
  "fractional_positions": [[0.000, 0.000, 0.000], [0.000, 0.500, 0.500], [0.500, 0.000, 0.500], [0.500, 0.500, 0.000]]
}

# 2
{
  "formula": "UTi2Mo",
  "functional": "PBE-GGA",
  "state": "optimized geometry",
  "magnetic_moment_mub_per_cell": 2.10,
  "spacegroup": "P4/mmm, No. 123",
  "de_polymorph_ev_per_atom": 0.0000,
  "delta_e_f_ev_per_atom": 0.130,
  "lattice": [[3.100, 0.000, 0.000], [0.000, 3.100, 0.000], [0.000, 0.000, 7.504]],
  "species": ["U", "Ti", "Ti", "Mo"],
  "fractional_positions": [[0.000, 0.000, 0.000], [0.500, 0.500, 0.292], [0.500, 0.500, 0.708], [0.000, 0.000, 0.500]]
}